# ErTmCuPt | Alexandria | PBE-GGA | relaxed
# D(E_F) ... 0.6610 states/eV per atom
# Energy of formation ... -0.815 eV per atom
data_ErTmCuPt
_space_group_name_H-M_alt 'F -4 3 m'
_space_group_IT_number 216
_space_group_name_Hall 'F -4 2 3'
_cell_length_a 6.882
_cell_length_b 6.882
_cell_length_c 6.882
_cell_angle_alpha 90.00
_cell_angle_beta 90.00
_cell_angle_gamma 90.00
loop_
_atom_site_label
_atom_site_fract_x
_atom_site_fract_y
_atom_site_fract_z
Er1 0.000 0.000 0.000
Tm1 0.000 0.000 0.500
Cu1 0.250 0.250 0.250
Pt1 0.250 0.250 0.750

# Na3NpH2O6 | Alexandria | PBE-GGA | relaxed
# VASP energy ... -6.3555 eV/atom
data_Na3NpH2O6
_space_group_name_H-M_alt 'F d d 2'
_space_group_IT_number 43
_space_group_name_Hall 'F 2 -2d'
_cell_length_a 5.968
_cell_length_b 20.342
_cell_length_c 10.572
_cell_angle_alpha 90.00
_cell_angle_beta 90.00
_cell_angle_gamma 90.00
loop_
_atom_site_label
_atom_site_fract_x
_atom_site_fract_y
_atom_site_fract_z
Na1 0.000 0.000 0.000
Na2 0.023 0.412 0.160
Np1 0.000 0.000 0.339
H1 0.081 0.396 0.667
O1 0.006 0.193 0.085
O2 0.093 0.194 0.716
O3 0.103 0.190 0.432

# TmMnBe17 | Alexandria | PBE-GGA | relaxed
# D(E_F) ... 0.2262 states/eV per atom
# Energy of formation ... -0.082 eV per atom
data_TmMnBe17
_space_group_name_H-M_alt 'R 3 m'
_space_group_IT_number 160
_space_group_name_Hall 'R 3 -2"'
_cell_length_a 7.4763
_cell_length_b 7.4763
_cell_length_c 10.8626
_cell_angle_alpha 90.00
_cell_angle_beta 90.00
_cell_angle_gamma 120.00
loop_
_atom_site_label
_atom_site_fract_x
_atom_site_fract_y
_atom_site_fract_z
Tm1 0.0000 0.0000 0.0000
Mn1 0.0000 0.0000 0.6704
Be1 0.0000 0.0000 0.2476
Be2 0.0000 0.0000 0.4433
Be3 0.0048 0.5024 0.8401
Be4 0.0062 0.2956 0.3411
Be5 0.0075 0.5038 0.4965
Be6 0.0110 0.5055 0.1875

# HoGa3Pt | Alexandria | PBE-GGA | relaxed
# D(E_F) ... 0.3594 states/eV per atom
# Energy of formation ... -0.730 eV per atom
data_HoGa3Pt
_space_group_name_H-M_alt 'P n m a'
_space_group_IT_number 62
_cell_length_a 8.239
_cell_length_b 4.207
_cell_length_c 10.910
_cell_angle_alpha 90.00
_cell_angle_beta 90.00
_cell_angle_gamma 90.00
loop_
_space_group_symop_operation_xyz
'x,y,z'
'-x,-y,-z'
'-x+1/2,-y,z+1/2'
'x+1/2,y,-z+1/2'
'x+1/2,-y+1/2,-z+1/2'
'-x+1/2,y+1/2,z+1/2'
'-x,y+1/2,-z'
'x,-y+1/2,z'
loop_
_atom_site_label
_atom_site_fract_x
_atom_site_fract_y
_atom_site_fract_z
Ho1 0.197 0.250 0.016
Ga1 0.070 0.250 0.591
Ga2 0.104 0.750 0.823
Ga3 0.138 0.750 0.210
Pt1 0.094 0.250 0.353

# ScZn2FeI | Alexandria | PBE-GGA | relaxed
# D(E_F) ... 1.0428 states/eV per atom
# VASP energy ... -2.5749 eV/atom
data_ScZn2FeI
_space_group_name_H-M_alt 'P 4/m m m'
_space_group_IT_number 123
_space_group_name_Hall '-P 4 2'
_cell_length_a 5.202
_cell_length_b 5.202
_cell_length_c 4.513
_cell_angle_alpha 90.00
_cell_angle_beta 90.00
_cell_angle_gamma 90.00
loop_
_atom_site_label
_atom_site_fract_x
_atom_site_fract_y
_atom_site_fract_z
Sc1 0.000 0.000 0.000
Zn1 0.000 0.500 0.500
Fe1 0.500 0.500 0.000
I1 0.500 0.500 0.500

# Pu4ScIn15 | Alexandria | PBE-GGA | relaxed
# D(E_F) ... 2.5059 states/eV per atom
# Energy of formation ... -0.241 eV per atom
data_Pu4ScIn15
_space_group_name_H-M_alt 'P 4/m m m'
_space_group_IT_number 123
_space_group_name_Hall '-P 4 2'
_cell_length_a 4.635
_cell_length_b 4.635
_cell_length_c 23.132
_cell_angle_alpha 90.00
_cell_angle_beta 90.00
_cell_angle_gamma 90.00
loop_
_atom_site_label
_atom_site_fract_x
_atom_site_fract_y
_atom_site_fract_z
Pu1 0.000 0.000 0.101
Pu2 0.000 0.000 0.304
Sc1 0.000 0.000 0.500
In1 0.000 0.500 0.000
In2 0.000 0.500 0.202
In3 0.000 0.500 0.404
In4 0.500 0.500 0.101
In5 0.500 0.500 0.302
In6 0.500 0.500 0.500

# TiFeMo2 | Alexandria | PBE-GGA | relaxed
# D(E_F) ... 1.5751 states/eV per atom
# Energy of formation ... 0.094 eV per atom
data_TiFeMo2
_space_group_name_H-M_alt 'F m -3 m'
_space_group_IT_number 225
_space_group_name_Hall '-F 4 2 3'
_cell_length_a 6.123
_cell_length_b 6.123
_cell_length_c 6.123
_cell_angle_alpha 90.00
_cell_angle_beta 90.00
_cell_angle_gamma 90.00
loop_
_atom_site_label
_atom_site_fract_x
_atom_site_fract_y
_atom_site_fract_z
Ti1 0.000 0.000 0.000
Fe1 0.000 0.000 0.500
Mo1 0.250 0.250 0.250

# Te2PdI | Alexandria | PBE-GGA | relaxed
# D(E_F) ... 0.4060 states/eV per atom
# VASP energy ... -3.5124 eV/atom
data_Te2PdI
_space_group_name_H-M_alt 'P -1'
_space_group_IT_number 2
_cell_length_a 4.153
_cell_length_b 4.155
_cell_length_c 7.910
_cell_angle_alpha 99.50
_cell_angle_beta 90.21
_cell_angle_gamma 119.90
loop_
_space_group_symop_operation_xyz
'x,y,z'
'-x,-y,-z'
loop_
_atom_site_label
_atom_site_fract_x
_atom_site_fract_y
_atom_site_fract_z
Te1 0.196 0.390 0.168
Pd1 0.500 0.000 0.000
I1 0.000 0.000 0.500